! PBE-GGA Li4TbMg15, optimized geometry; values from VASP
&SYSTEM
  ibrav = 0, nat = 20, ntyp = 3
/
ATOMIC_SPECIES
Mg 24.30 Mg.upf
Li 6.94 Li.upf
Tb 158.93 Tb.upf
ATOMIC_POSITIONS crystal
Mg 0.500 0.500 0.402
Mg 0.000 0.500 0.892
Mg 0.500 0.500 0.000
Mg 0.000 0.500 0.500
Mg 0.500 0.500 0.791
Mg 0.500 0.000 0.695
Mg 0.500 0.000 0.500
Mg 0.000 0.500 0.108
Mg 0.500 0.000 0.892
Mg 0.000 0.500 0.695
Mg 0.500 0.500 0.209
Mg 0.000 0.500 0.305
Mg 0.500 0.500 0.598
Mg 0.500 0.000 0.305
Mg 0.500 0.000 0.108
Li 0.000 0.000 0.204
Li 0.000 0.000 0.796
Li 0.000 0.000 0.596
Li 0.000 0.000 0.404
Tb 0.000 0.000 0.000
CELL_PARAMETERS angstrom
-4.057 -1.967 0.055
0.230 -0.599 -4.463
9.679 -19.879 3.168
! formation energy from the elements = -0.8 kcal/mol of atoms
! space group = P4/mmm, No. 123